Cs2DyBeO4 (PBE, optimized geometry); E_form (uncorrected) = -1.90 eV per atom; V = 23.95 Å³/atom
1.0
-2.697 0.896 4.284
3.339 -1.760 5.555
3.365 11.479 2.803
O Be Dy Cs
8 2 2 4
Direct
0.270 0.162 0.921 O
0.567 0.162 0.079 O
0.480 0.338 0.579 O
0.353 0.838 0.079 O
0.809 0.838 0.921 O
0.941 0.662 0.579 O
0.183 0.338 0.421 O
0.397 0.662 0.421 O
0.250 0.500 0.500 Be
0.500 0.000 0.000 Be
0.750 0.500 0.500 Dy
0.000 0.000 0.000 Dy
0.926 0.500 0.147 Cs
0.574 0.500 0.853 Cs
0.824 0.000 0.353 Cs
0.176 0.000 0.647 Cs

---

AgSn2TeSe3 (PBE, optimized geometry); E_form (uncorrected) = -0.24 eV per atom; V = 28.93 Å³/atom
1.0
-5.703 -3.771 4.705
2.178 -6.408 4.804
0.194 0.889 8.249
Ag Se Sn Te
2 6 4 2
Direct
0.605 0.605 0.605 Ag
0.395 0.395 0.395 Ag
0.756 0.756 0.222 Se
0.778 0.244 0.244 Se
0.222 0.756 0.756 Se
0.244 0.778 0.244 Se
0.244 0.244 0.778 Se
0.756 0.222 0.756 Se
0.000 0.000 0.000 Sn
0.500 0.000 0.000 Sn
0.000 0.500 0.000 Sn
0.000 0.000 0.500 Sn
0.745 0.745 0.745 Te
0.255 0.255 0.255 Te

---

KRu2W (PBE, optimized geometry); formation energy from the elements = 0.91 eV per atom; ΔE to the lowest computed polymorph = 0.3163 eV per atom; V = 23.77 Å³/atom
1.0
-1.376 1.891 4.347
-3.827 0.767 3.022
0.462 -5.600 3.897
Ru W K
2 1 1
Direct
0.959 0.959 0.095 Ru
0.254 0.254 0.306 Ru
0.542 0.542 0.330 W
0.745 0.745 0.769 K

---

TbPr6NdTh2 (PBE, optimized geometry); formation energy from the elements = 0.14 eV per atom; V = 35.02 Å³/atom
1.0
6.494 -0.961 -0.997
1.424 10.891 -3.742
1.424 -4.143 10.744
Tb Th Nd Pr
2 4 2 12
Direct
0.250 0.300 0.700 Tb
0.750 0.700 0.300 Tb
0.533 0.841 0.652 Th
0.467 0.159 0.348 Th
0.967 0.348 0.159 Th
0.033 0.652 0.841 Th
0.750 0.003 0.997 Nd
0.250 0.997 0.003 Nd
0.726 0.088 0.559 Pr
0.481 0.215 0.930 Pr
0.045 0.683 0.553 Pr
0.519 0.785 0.070 Pr
0.545 0.553 0.683 Pr
0.981 0.930 0.215 Pr
0.774 0.441 0.912 Pr
0.955 0.317 0.447 Pr
0.455 0.447 0.317 Pr
0.019 0.070 0.785 Pr
0.226 0.559 0.088 Pr
0.274 0.912 0.441 Pr

---

AcPu3Tl2O12 (PBE, optimized geometry); E_form (uncorrected) = -2.35 eV per atom; V = 17.66 Å³/atom
1.0
7.218 -0.525 -0.373
3.108 6.535 -0.373
3.108 1.809 6.291
Ac Tl O Pu
1 2 12 3
Direct
0.000 0.000 0.000 Ac
0.386 0.386 0.386 Tl
0.614 0.614 0.614 Tl
0.748 0.094 0.748 O
0.436 0.864 0.864 O
0.906 0.252 0.252 O
0.564 0.136 0.136 O
0.136 0.136 0.564 O
0.748 0.748 0.094 O
0.864 0.864 0.436 O
0.864 0.436 0.864 O
0.252 0.252 0.906 O
0.136 0.564 0.136 O
0.252 0.906 0.252 O
0.094 0.748 0.748 O
0.000 0.000 0.500 Pu
0.000 0.500 0.000 Pu
0.500 0.000 0.000 Pu

---

YPtC2 (PBE, optimized geometry); formation energy from the elements = 0.52 eV per atom; ΔE to the lowest computed polymorph = 0.0000 eV per atom; V = 15.91 Å³/atom
1.0
4.849 0.000 0.000
0.000 4.849 0.000
2.424 2.424 5.413
C Pt Y
4 2 2
Direct
0.054 0.625 0.250 C
0.696 0.125 0.250 C
0.875 0.946 0.750 C
0.375 0.304 0.750 C
0.000 0.000 0.000 Pt
0.750 0.250 0.500 Pt
0.250 0.750 0.500 Y
0.500 0.500 0.000 Y